1.
Entry from Alexandria via LeMat-Bulk: an optimized crystal structure of LiAl2Cu2 (PBE).

The total energy comes out at -3.739 eV/atom. The energy of formation from the pure elements is -0.221 eV per atom. As for the density: 4.35 g/cm³. The calculation puts the offset from the most stable computed form at 0.0 meV per atom.

It has space group P4/mbm (No. 127), with a = 7.303 Å, b = 7.303 Å, c = 2.690 Å, α = 90.00°, β = 90.00° and γ = 90.00°. Symmetry generates all atoms from Li at (0.000, 0.000, 0.000), Al at (0.168, 0.332, 0.500) and Cu at (0.128, 0.628, 0.000).

---

2.
Entry from Alexandria via LeMat-Bulk: an optimized crystal structure of Li2AlCu8 (PBE).

The total energy comes out at -3.621 eV/atom. The energy of formation from the pure elements is 0.046 eV per atom. As for the density: 6.41 g/cm³. The calculation puts the offset from the most stable computed form at 51.5 meV per atom.

It has space group C2/m (No. 12), with a = 6.671 Å, b = 11.499 Å, c = 4.376 Å, α = 90.00°, β = 122.06° and γ = 90.00°. Symmetry generates all atoms from Li at (0.000, 0.190, 0.000), Al at (0.000, 0.500, 0.500), Cu at (0.000, 0.288, 0.500), Cu at (0.085, 0.000, 0.313) and Cu at (0.212, 0.385, 0.137).

---

3.
Entry from Alexandria via LeMat-Bulk: an optimized crystal structure of LiAl2Cu (PBE).

The total energy comes out at -3.498 eV/atom. The energy of formation from the pure elements is -0.124 eV per atom. As for the density: 3.53 g/cm³.

It has space group C2/m (No. 12), with a = 8.888 Å, b = 2.831 Å, c = 4.751 Å, α = 90.00°, β = 101.85° and γ = 90.00°. Symmetry generates all atoms from Li at (0.000, 0.000, 0.000), Al at (0.237, 0.000, 0.739) and Cu at (0.000, 0.500, 0.500).

---

4.
Entry from Alexandria via LeMat-Bulk: an optimized crystal structure of Li4AlCu5 (PBE).

The total energy comes out at -3.080 eV/atom. The energy of formation from the pure elements is 0.108 eV per atom. As for the density: 4.54 g/cm³.

It has space group I4 (No. 79), with a = 7.580 Å, b = 7.580 Å, c = 4.745 Å, α = 90.00°, β = 90.00° and γ = 90.00°. Symmetry generates all atoms from Li at (0.151, 0.762, 0.000), Al at (0.000, 0.000, 0.694), Cu at (0.000, 0.000, 0.221) and Cu at (0.037, 0.657, 0.490).

---

5.
Entry from Alexandria via LeMat-Bulk: an optimized crystal structure of Li2Al2Cu (PBE).

The total energy comes out at -3.326 eV/atom. The energy of formation from the pure elements is -0.245 eV per atom. As for the density: 3.13 g/cm³. The calculation puts the offset from the most stable computed form at 0.0 meV per atom.

It has space group P-1 (No. 2), with a = 4.219 Å, b = 4.229 Å, c = 5.097 Å, α = 66.08°, β = 65.90° and γ = 60.29°. Symmetry generates all atoms from Li at (0.192, 0.192, 0.423), Al at (0.392, 0.392, 0.824) and Cu at (0.000, 0.000, 0.000).

---

6.
Entry from Alexandria via LeMat-Bulk: an optimized crystal structure of LiAlCu2 (PBE).

The total energy comes out at -3.648 eV/atom. The energy of formation from the pure elements is -0.185 eV per atom. As for the density: 5.24 g/cm³.

It has space group I-4m2 (No. 119), with a = 3.631 Å, b = 3.631 Å, c = 7.740 Å, α = 90.00°, β = 90.00° and γ = 90.00°. Symmetry generates all atoms from Li at (0.000, 0.000, 0.000), Al at (0.000, 0.500, 0.750), Cu at (0.000, 0.000, 0.500) and Cu at (0.000, 0.500, 0.250).

---

7.
Entry from Alexandria via LeMat-Bulk: an optimized crystal structure of LiAl2Cu (PBE).

The total energy comes out at -3.513 eV/atom. The energy of formation from the pure elements is -0.139 eV per atom. As for the density: 3.60 g/cm³.

It has space group I-4m2 (No. 119), with a = 3.832 Å, b = 3.832 Å, c = 7.807 Å, α = 90.00°, β = 90.00° and γ = 90.00°. Symmetry generates all atoms from Li at (0.000, 0.000, 0.000), Al at (0.000, 0.000, 0.500), Al at (0.000, 0.500, 0.750) and Cu at (0.000, 0.500, 0.250).

---

8.
Entry from Alexandria via LeMat-Bulk: an optimized crystal structure of LiAl2Cu (PBE).

The total energy comes out at -3.533 eV/atom. The energy of formation from the pure elements is -0.159 eV per atom. As for the density: 3.64 g/cm³.

It has space group P4/mmm (No. 123), with a = 3.966 Å, b = 3.966 Å, c = 3.605 Å, α = 90.00°, β = 90.00° and γ = 90.00°. Symmetry generates all atoms from Li at (0.000, 0.000, 0.000), Al at (0.000, 0.500, 0.500) and Cu at (0.500, 0.500, 0.000).

---

9.
Entry from Alexandria via LeMat-Bulk: an optimized crystal structure of Li2AlCu6 (PBE).

The total energy comes out at -3.600 eV/atom. The energy of formation from the pure elements is -0.028 eV per atom. As for the density: 5.89 g/cm³. The calculation puts the offset from the most stable computed form at 67.9 meV per atom.

It has space group C2/m (No. 12), with a = 7.708 Å, b = 5.071 Å, c = 6.407 Å, α = 90.00°, β = 108.13° and γ = 90.00°. Symmetry generates all atoms from Li at (0.169, 0.000, 0.099), Al at (0.000, 0.500, 0.000), Cu at (0.049, 0.242, 0.699) and Cu at (0.240, 0.500, 0.467).

---

10.
Entry from Alexandria via LeMat-Bulk: an optimized crystal structure of LiAlCu6 (PBE).

The total energy comes out at -3.927 eV/atom. The energy of formation from the pure elements is -0.148 eV per atom. As for the density: 7.03 g/cm³. The calculation puts the offset from the most stable computed form at 0.0 meV per atom.

It has space group P-6m2 (No. 187), with a = 5.1619 Å, b = 5.1619 Å, c = 4.2524 Å, α = 90.00°, β = 90.00° and γ = 120.00°. Symmetry generates all atoms from Li at (0.0000, 0.0000, 0.0000), Al at (0.3333, 0.6667, 0.5000), Cu at (0.3360, 0.1680, 0.5000) and Cu at (0.5010, 0.0020, 0.0000).

---

11.
Entry from Alexandria via LeMat-Bulk: an optimized crystal structure of Li4AlCu (PBE).

The total energy comes out at -2.682 eV/atom. The energy of formation from the pure elements is -0.100 eV per atom. As for the density: 2.20 g/cm³. The calculation puts the offset from the most stable computed form at 0.0 meV per atom.

It has space group P2_1/m (No. 11), with a = 5.123 Å, b = 4.472 Å, c = 8.176 Å, α = 90.00°, β = 107.56° and γ = 90.00°. Symmetry generates all atoms from Li at (0.040, 0.250, 0.084), Li at (0.208, 0.250, 0.418), Li at (0.289, 0.750, 0.584), Li at (0.458, 0.750, 0.916), Al at (0.375, 0.750, 0.250) and Cu at (0.125, 0.250, 0.749).

---

12.
Entry from Alexandria via LeMat-Bulk: an optimized crystal structure of Li4AlCu (PBE).

The total energy comes out at -2.487 eV/atom. The energy of formation from the pure elements is 0.095 eV per atom. As for the density: 2.29 g/cm³. The calculation puts the offset from the most stable computed form at 195.3 meV per atom.

It has space group F-43m (No. 216), with a = 7.000 Å, b = 7.000 Å, c = 7.000 Å, α = 90.00°, β = 90.00° and γ = 90.00°. Symmetry generates all atoms from Li at (0.125, 0.125, 0.125), Al at (0.250, 0.250, 0.750) and Cu at (0.000, 0.000, 0.500).

---

13.
Entry from Alexandria via LeMat-Bulk: an optimized crystal structure of LiAlCu (PBE).

The total energy comes out at -3.202 eV/atom. The energy of formation from the pure elements is 0.049 eV per atom. As for the density: 3.26 g/cm³.

It has space group F-43m (No. 216), with a = 5.834 Å, b = 5.834 Å, c = 5.834 Å, α = 90.00°, β = 90.00° and γ = 90.00°. Symmetry generates all atoms from Li at (0.000, 0.000, 0.000), Al at (0.000, 0.000, 0.500) and Cu at (0.250, 0.250, 0.250).

---

14.
Entry from Alexandria via LeMat-Bulk: an optimized crystal structure of Li2Al2Cu3 (PBE).

The total energy comes out at -3.558 eV/atom. The energy of formation from the pure elements is -0.187 eV per atom. As for the density: 4.59 g/cm³. The calculation puts the offset from the most stable computed form at 0.0 meV per atom.

It has space group P-1 (No. 2), with a = 4.177 Å, b = 4.178 Å, c = 6.590 Å, α = 90.84°, β = 107.75° and γ = 119.44°. Symmetry generates all atoms from Li at (0.214, 0.357, 0.071), Al at (0.337, 0.917, 0.754), Cu at (0.063, 0.782, 0.346) and Cu at (0.500, 0.500, 0.500).

---

15.
Entry from Alexandria via LeMat-Bulk: an optimized crystal structure of LiAl2Cu (PBE).

The total energy comes out at -3.471 eV/atom. The energy of formation from the pure elements is -0.097 eV per atom. As for the density: 3.47 g/cm³.

It has space group R3m (No. 160, hexagonal axes), with a = 2.8071 Å, b = 2.8071 Å, c = 26.1525 Å, α = 90.00°, β = 90.00° and γ = 120.00°. Symmetry generates all atoms from Li at (0.0000, 0.0000, 0.0000), Al at (0.0000, 0.0000, 0.2463), Al at (0.0000, 0.0000, 0.4224) and Cu at (0.0000, 0.0000, 0.8347).

---

16.
Entry from Alexandria via LeMat-Bulk: an optimized crystal structure of LiAlCu5 (PBE).

The total energy comes out at -3.773 eV/atom. The energy of formation from the pure elements is -0.039 eV per atom. As for the density: 6.36 g/cm³. The calculation puts the offset from the most stable computed form at 0.0 meV per atom.

It has space group Cmcm (No. 63), with a = 7.177 Å, b = 5.157 Å, c = 9.925 Å, α = 90.00°, β = 90.00° and γ = 90.00°. Symmetry generates all atoms from Li at (0.000, 0.134, 0.250), Al at (0.000, 0.500, 0.000), Cu at (0.000, 0.413, 0.750) and Cu at (0.214, 0.148, 0.615).

---

17.
Entry from Alexandria via LeMat-Bulk: an optimized crystal structure of LiAl2Cu (PBE).

The total energy comes out at -3.512 eV/atom. The energy of formation from the pure elements is -0.139 eV per atom. As for the density: 3.62 g/cm³.

It has space group Pmm2 (No. 25), with a = 2.783 Å, b = 4.374 Å, c = 4.685 Å, α = 90.00°, β = 90.00° and γ = 90.00°. Symmetry generates all atoms from Li at (0.000, 0.000, 0.000), Al at (0.500, 0.000, 0.494), Al at (0.500, 0.500, 0.852) and Cu at (0.000, 0.500, 0.335).

---

18.
Entry from Alexandria via LeMat-Bulk: an optimized crystal structure of Li2Al3Cu3 (PBE).

The total energy comes out at -3.573 eV/atom. The energy of formation from the pure elements is -0.155 eV per atom. As for the density: 4.29 g/cm³.

It has space group P6_3/mcm (No. 193), with a = 7.2879 Å, b = 7.2879 Å, c = 4.8078 Å, α = 90.00°, β = 90.00° and γ = 120.00°. Symmetry generates all atoms from Li at (0.3333, 0.6667, 0.0000), Al at (0.0000, 0.2609, 0.2500) and Cu at (0.0000, 0.3898, 0.7500).

---

19.
Entry from Alexandria via LeMat-Bulk: an optimized crystal structure of Li4Al3Cu (PBE).

The total energy comes out at -2.948 eV/atom. The energy of formation from the pure elements is -0.075 eV per atom. As for the density: 2.27 g/cm³.

It has space group Cmmm (No. 65), with a = 4.336 Å, b = 21.637 Å, c = 2.682 Å, α = 90.00°, β = 90.00° and γ = 90.00°. Symmetry generates all atoms from Li at (0.000, 0.099, 0.000), Li at (0.000, 0.217, 0.000), Al at (0.000, 0.344, 0.500), Al at (0.000, 0.500, 0.000) and Cu at (0.000, 0.000, 0.500).

---

20.
Entry from Alexandria via LeMat-Bulk: an optimized crystal structure of Li2Al2Cu5 (PBE).

The total energy comes out at -3.658 eV/atom. The energy of formation from the pure elements is -0.126 eV per atom. As for the density: 5.17 g/cm³. The calculation puts the offset from the most stable computed form at 21.9 meV per atom.

It has space group P-1 (No. 2), with a = 4.387 Å, b = 4.977 Å, c = 6.219 Å, α = 76.04°, β = 69.95° and γ = 83.73°. Symmetry generates all atoms from Li at (0.067, 0.043, 0.221), Al at (0.401, 0.304, 0.736), Cu at (0.000, 0.500, 0.500), Cu at (0.208, 0.573, 0.071) and Cu at (0.487, 0.192, 0.341).